Record 1
Entry from Alexandria: an optimized crystal structure of La2SiHg (PBE).

a = 4.404 Å, b = 4.404 Å, c = 8.155 Å
α = 105.61°, β = 105.61°, γ = 59.94°
Fractional positions:
La1 0.236 0.236 0.209
La2 0.764 0.764 0.791
Si1 0.500 0.500 0.000
Hg1 0.000 0.000 0.500

Uncorrected energy ... -4.367 eV/atom
Formation energy (no corrections) ... -0.472 eV/atom

---

Record 2
Entry from Alexandria: an optimized crystal structure of Mg3OsSe (PBE).

a = 4.813 Å, b = 4.813 Å, c = 4.813 Å
α = 90.00°, β = 90.00°, γ = 90.00°
Fractional positions:
Mg1 0.000 0.000 0.500
Mg2 0.000 0.500 0.000
Mg3 0.500 0.000 0.000
Os1 0.500 0.500 0.500
Se1 0.000 0.000 0.000

Uncorrected energy ... -3.174 eV/atom
Formation energy (no corrections) ... 0.725 eV/atom
Relative energy among the computed polymorphs ... 199 meV per atom

---

Record 3
Entry from Alexandria: an optimized crystal structure of Sr2ReHg (PBE).

a = 11.068 Å, b = 11.068 Å, c = 11.068 Å
α = 155.70°, β = 155.70°, γ = 34.64°
Fractional positions:
Sr1 0.115 0.625 0.990
Sr2 0.375 0.365 0.490
Sr3 0.635 0.125 0.010
Sr4 0.875 0.885 0.510
Re1 0.000 0.000 0.000
Re2 0.750 0.250 0.500
Hg1 0.250 0.750 0.500
Hg2 0.500 0.500 0.000

Uncorrected energy ... -2.853 eV/atom

---

What did the second record say?
Entry from Alexandria: an optimized crystal structure of Mg3OsSe (PBE).

a = 4.813 Å, b = 4.813 Å, c = 4.813 Å
α = 90.00°, β = 90.00°, γ = 90.00°
Fractional positions:
Mg1 0.000 0.000 0.500
Mg2 0.000 0.500 0.000
Mg3 0.500 0.000 0.000
Os1 0.500 0.500 0.500
Se1 0.000 0.000 0.000

Uncorrected energy ... -3.174 eV/atom
Formation energy (no corrections) ... 0.725 eV/atom
Relative energy among the computed polymorphs ... 199 meV per atom

---

Q: Which value of uncorrected energy does entry 3 give?
A: -2.853 eV/atom

---

Q: Among the records above, which one has the lowest uncorrected energy?
A: La2SiHg